Record 1
TbMg: relaxed, PBE.

## Properties
**Total DFT energy (no corrections)**: -36.9 eV per cell

Structure (CIF):
```
data_TbMg
_chemical_formula_sum 'Tb6 Mg6'
_space_group_name_H-M_alt 'P 1'
_space_group_IT_number 1
_cell_length_a 6.135
_cell_length_b 9.969
_cell_length_c 5.397
_cell_angle_alpha 90.00
_cell_angle_beta 90.00
_cell_angle_gamma 90.00
loop_
_space_group_symop_operation_xyz
'x,y,z'
loop_
_atom_site_label
_atom_site_type_symbol
_atom_site_fract_x
_atom_site_fract_y
_atom_site_fract_z
_atom_site_occupancy
Mg1 Mg 0.521 0.815 0.000 1
Mg2 Mg 0.332 0.327 0.500 1
Mg3 Mg 0.021 0.352 0.000 1
Mg4 Mg 0.832 0.840 0.500 1
Mg5 Mg 0.484 0.498 0.000 1
Mg6 Mg 0.984 0.668 0.000 1
Tb1 Tb 0.021 0.995 0.000 1
Tb2 Tb 0.857 0.182 0.500 1
Tb3 Tb 0.521 0.172 0.000 1
Tb4 Tb 0.284 0.650 0.500 1
Tb5 Tb 0.357 0.985 0.500 1
Tb6 Tb 0.784 0.517 0.500 1
```

***

Record 2
RePCl6O3: relaxed, PBE.

## Properties
**Total DFT energy (no corrections)**: -219.1 eV per cell

Structure (CIF):
```
data_RePCl6O3
_chemical_formula_sum 'Re4 P4 Cl24 O12'
_space_group_name_H-M_alt 'P 1'
_space_group_IT_number 1
_cell_length_a 6.248
_cell_length_b 12.378
_cell_length_c 13.564
_cell_angle_alpha 90.00
_cell_angle_beta 99.60
_cell_angle_gamma 90.00
loop_
_space_group_symop_operation_xyz
'x,y,z'
loop_
_atom_site_label
_atom_site_type_symbol
_atom_site_fract_x
_atom_site_fract_y
_atom_site_fract_z
_atom_site_occupancy
Cl1 Cl 0.086 0.304 0.272 1
Cl2 Cl 0.314 0.534 0.754 1
Cl3 Cl 0.103 0.523 0.153 1
Cl4 Cl 0.460 0.685 0.333 1
Cl5 Cl 0.897 0.023 0.347 1
Cl6 Cl 0.540 0.315 0.667 1
Cl7 Cl 0.929 0.114 0.059 1
Cl8 Cl 0.540 0.185 0.167 1
Cl9 Cl 0.103 0.977 0.653 1
Cl10 Cl 0.686 0.466 0.246 1
Cl11 Cl 0.914 0.804 0.228 1
Cl12 Cl 0.071 0.614 0.441 1
Cl13 Cl 0.657 0.664 0.012 1
Cl14 Cl 0.929 0.386 0.559 1
Cl15 Cl 0.897 0.477 0.847 1
Cl16 Cl 0.657 0.836 0.512 1
Cl17 Cl 0.914 0.696 0.728 1
Cl18 Cl 0.071 0.886 0.941 1
Cl19 Cl 0.343 0.336 0.988 1
Cl20 Cl 0.343 0.164 0.488 1
Cl21 Cl 0.086 0.196 0.772 1
Cl22 Cl 0.686 0.034 0.746 1
Cl23 Cl 0.314 0.966 0.254 1
Cl24 Cl 0.460 0.815 0.833 1
O1 O 0.715 0.262 0.901 1
O2 O 0.461 0.101 0.949 1
O3 O 0.715 0.238 0.401 1
O4 O 0.539 0.899 0.051 1
O5 O 0.461 0.399 0.449 1
O6 O 0.285 0.762 0.599 1
O7 O 0.818 0.150 0.578 1
O8 O 0.285 0.738 0.099 1
O9 O 0.818 0.350 0.078 1
O10 O 0.182 0.850 0.422 1
O11 O 0.182 0.650 0.922 1
O12 O 0.539 0.601 0.551 1
P1 P 0.910 0.098 0.675 1
P2 P 0.090 0.902 0.325 1
P3 P 0.910 0.402 0.175 1
P4 P 0.090 0.598 0.825 1
Re1 Re 0.384 0.793 0.999 1
Re2 Re 0.384 0.707 0.499 1
Re3 Re 0.616 0.207 0.001 1
Re4 Re 0.616 0.293 0.501 1
```

***

Record 3
AcScCd: relaxed, PBE.

## Properties
**Polymorph energy (0 for the lowest one)**: 259 meV/atom
**Total DFT energy (no corrections)**: -9.4 eV per cell
**E_form**: 0.64 eV per atom

Structure (CIF):
```
data_AcScCd
_chemical_formula_sum 'Ac1 Sc1 Cd1'
_space_group_name_H-M_alt 'P 1'
_space_group_IT_number 1
_cell_length_a 5.302
_cell_length_b 5.302
_cell_length_c 5.302
_cell_angle_alpha 60.00
_cell_angle_beta 60.00
_cell_angle_gamma 60.00
loop_
_space_group_symop_operation_xyz
'x,y,z'
loop_
_atom_site_label
_atom_site_type_symbol
_atom_site_fract_x
_atom_site_fract_y
_atom_site_fract_z
_atom_site_occupancy
Sc1 Sc 0.750 0.750 0.750 1
Ac1 Ac 0.000 0.000 0.000 1
Cd1 Cd 0.250 0.250 0.250 1
```

***

Record 4
Lu4Ga12Pd: relaxed, PBE.

## Properties
**Total DFT energy (no corrections)**: -68.9 eV per cell

Structure (CIF):
```
data_Lu4Ga12Pd
_chemical_formula_sum 'Lu4 Ga12 Pd1'
_space_group_name_H-M_alt 'P 1'
_space_group_IT_number 1
_cell_length_a 7.388
_cell_length_b 7.388
_cell_length_c 7.388
_cell_angle_alpha 109.47
_cell_angle_beta 109.47
_cell_angle_gamma 109.47
loop_
_space_group_symop_operation_xyz
'x,y,z'
loop_
_atom_site_label
_atom_site_type_symbol
_atom_site_fract_x
_atom_site_fract_y
_atom_site_fract_z
_atom_site_occupancy
Ga1 Ga 0.250 0.750 0.500 1
Ga2 Ga 0.704 0.000 0.704 1
Ga3 Ga 0.000 0.296 0.296 1
Ga4 Ga 0.296 0.000 0.296 1
Ga5 Ga 0.500 0.750 0.250 1
Ga6 Ga 0.704 0.704 0.000 1
Ga7 Ga 0.250 0.500 0.750 1
Ga8 Ga 0.000 0.704 0.704 1
Ga9 Ga 0.750 0.250 0.500 1
Ga10 Ga 0.750 0.500 0.250 1
Ga11 Ga 0.296 0.296 0.000 1
Ga12 Ga 0.500 0.250 0.750 1
Lu1 Lu 0.000 0.500 0.000 1
Lu2 Lu 0.000 0.000 0.500 1
Lu3 Lu 0.500 0.000 0.000 1
Lu4 Lu 0.500 0.500 0.500 1
Pd1 Pd 0.000 0.000 0.000 1
```